CdHg2Br | SCAN | PBEsol geometry

Calculated values
ΔE_f (raw): -229.5 meV/atom
ρ: 9.195 g/cm3
DOS at the Fermi energy: 0.290 states/eV/atom
SG: Cmmm, No. 65

abc: 4.139 5.284 5.285
angles: 111.99 90.00 90.00
Positions (direct):
Hg 0.000 0.271 0.229
Hg 0.000 0.729 0.771
Br 0.500 0.000 0.500
Cd 0.500 0.500 0.000